(1)
4
Lattice="4.752 0.000 0.000 2.376 4.116 0.000 2.376 1.372 6.441" Properties=species:S:1:pos:R:3 comment="Ho2SnPb (GGA-PBE, relaxed)" volume_a3_per_atom=31.49 m_tot_mub_per_atom=0.00 density_g_cm3=8.6 delta_e_f_kj_per_mol_fu=-162.6 pbc="T T T"
Sn 4.752 2.744 0.038
Ho 2.376 1.372 4.963
Ho 2.376 1.372 1.440
Pb 4.752 2.744 3.221

(2)
4
Lattice="4.737 0.000 0.000 2.368 4.102 0.000 2.368 1.367 3.867" Properties=species:S:1:pos:R:3 comment="TlCr2As (GGA-PBE, relaxed)" volume_a3_per_atom=18.79 m_tot_mub_per_atom=0.00 density_g_cm3=8.5 delta_e_f_kj_per_mol_fu=217.7 pbc="T T T"
As 4.737 2.735 1.934
Cr 2.368 1.367 0.967
Cr 0.000 0.000 0.000
Tl 7.105 4.102 2.901

(3)
4
Lattice="-2.235 3.617 0.804 -3.694 -2.102 -0.814 -0.221 -0.847 3.192" Properties=species:S:1:pos:R:3 comment="Cr2HgW (GGA-PBE, relaxed)" volume_a3_per_atom=15.49 m_tot_mub_per_atom=0.93 density_g_cm3=13.1 delta_e_f_kj_per_mol_fu=218.7 pbc="T T T"
W -1.957 -1.474 1.189
Cr -2.964 0.757 -0.005
Cr 0.000 0.000 0.000
Hg -1.228 1.385 1.998

(4)
6
Lattice="5.163 0.000 0.002 0.000 3.384 0.000 -2.094 0.000 8.560" Properties=species:S:1:pos:R:3 comment="P2S (GGA-PBE, relaxed)" volume_a3_per_atom=24.93 m_tot_mub_per_atom=0.00 density_g_cm3=2.1 e_form_raw_mev_per_atom=182 pbc="T T T"
P 4.029 0.276 1.655
P 2.982 1.969 5.935
P -0.961 0.276 6.908
P 0.087 1.969 2.628
S 0.000 2.765 0.000
S -1.047 1.073 4.280

(5)
5
Lattice="4.262 0.000 0.000 0.000 4.262 0.000 2.131 2.131 5.162" Properties=species:S:1:pos:R:3 comment="Ti2AgPd2 (GGA-PBE, relaxed)" volume_a3_per_atom=18.76 m_tot_mub_per_atom=0.00 density_g_cm3=7.4 delta_e_f_kj_per_mol_fu=-46.4 pbc="T T T"
Ti 4.262 2.131 2.581
Ti 2.131 4.262 2.581
Pd 2.131 2.131 1.252
Pd 4.262 4.262 3.910
Ag 0.000 0.000 0.000

(6)
4
Lattice="-2.342 -3.096 -2.451 3.425 0.330 -3.526 2.982 -3.638 2.946" Properties=species:S:1:pos:R:3 comment="RbTeHS (GGA-PBE, relaxed)" volume_a3_per_atom=31.12 m_tot_mub_per_atom=0.00 density_g_cm3=3.3 final_energy_ev_per_atom=-3.293 pbc="T T T"
S 2.533 -3.645 1.261
Rb 2.762 -4.652 -1.909
H -0.348 -3.413 -2.139
Te 0.685 -1.356 0.003